No. 1
Here is crystalline MgZn2BH at its relaxed geometry from Alexandria via LeMat-Bulk. Energies are from PBE.

abc: 4.064 4.064 4.209
angles: 90.00 90.00 90.00
Fractional coordinates of all 5 atoms:
Mg  0.000  0.000  0.000
Zn  0.000  0.500  0.500
Zn  0.500  0.000  0.500
B  0.500  0.500  0.500
H  0.500  0.500  0.000

## Properties
Volume: 13.9 Å³/atom
Electronic total energy: -2.232 eV/atom

No. 2
Here is crystalline Mn3BH at its relaxed geometry from Alexandria via LeMat-Bulk. Energies are from PBE.

abc: 3.492 3.492 3.492
angles: 90.00 90.00 90.00
Fractional coordinates of all 5 atoms:
Mn  0.000  0.000  0.500
Mn  0.000  0.500  0.000
Mn  0.500  0.000  0.000
B  0.500  0.500  0.500
H  0.000  0.000  0.000

## Properties
Volume: 8.5 Å³/atom
Energy above the most stable polymorph in this dataset: 0 meV/atom

No. 3
Here is crystalline MnB2H at its relaxed geometry from Alexandria via LeMat-Bulk. Energies are from PBE.

abc: 4.090 4.090 4.090
angles: 102.03 102.03 125.67
Fractional coordinates of all 8 atoms:
Mn  0.000  0.000  0.000
Mn  0.750  0.250  0.500
B  0.194  0.625  0.069
B  0.375  0.444  0.569
B  0.556  0.125  0.931
B  0.875  0.806  0.431
H  0.250  0.750  0.500
H  0.500  0.500  0.000

## Properties
Volume: 6.2 Å³/atom
Energy above the most stable polymorph in this dataset: 0 meV/atom

No. 4
Here is crystalline Mn4B2H at its relaxed geometry from Alexandria via LeMat-Bulk. Energies are from PBE.

abc: 6.054 6.054 6.054
angles: 148.24 148.24 45.52
Fractional coordinates of all 7 atoms:
Mn  0.000  0.500  0.500
Mn  0.177  0.177  0.000
Mn  0.500  0.000  0.500
Mn  0.823  0.823  0.000
B  0.369  0.369  0.000
B  0.631  0.631  0.000
H  0.000  0.000  0.000

## Properties
Volume: 8.8 Å³/atom
Electronic total energy: -7.666 eV/atom

No. 5
Here is crystalline MnB3H at its relaxed geometry from Alexandria via LeMat-Bulk. Energies are from PBE.

abc: 3.123 3.123 3.123
angles: 90.00 90.00 90.00
Fractional coordinates of all 5 atoms:
Mn  0.000  0.000  0.000
B  0.000  0.500  0.500
B  0.500  0.000  0.500
B  0.500  0.500  0.000
H  0.500  0.500  0.500

## Properties
Volume: 6.1 Å³/atom
Energy above the most stable polymorph in this dataset: 0 meV/atom

No. 6
Here is crystalline Mn2BH at its relaxed geometry from Alexandria via LeMat-Bulk. Energies are from PBE.

abc: 4.880 4.880 4.880
angles: 32.32 32.32 32.32
Fractional coordinates of all 4 atoms:
Mn  0.241  0.241  0.241
Mn  0.759  0.759  0.759
B  0.000  0.000  0.000
H  0.500  0.500  0.500

## Properties
Volume: 7.4 Å³/atom
Energy above the most stable polymorph in this dataset: 0 meV/atom

No. 7
Here is crystalline MnBH at its relaxed geometry from Alexandria via LeMat-Bulk. Energies are from PBE.

abc: 3.615 3.615 5.092
angles: 110.63 110.63 47.90
Fractional coordinates of all 6 atoms:
Mn  0.100  0.100  0.308
Mn  0.900  0.900  0.692
B  0.215  0.215  0.737
B  0.785  0.785  0.263
H  0.144  0.144  0.980
H  0.856  0.856  0.020

## Properties
Volume: 7.6 Å³/atom
Electronic total energy: -6.108 eV/atom

No. 8
Here is crystalline MnB3H at its relaxed geometry from Alexandria via LeMat-Bulk. Energies are from PBE.

abc: 3.796 3.796 3.796
angles: 90.00 90.00 90.00
Fractional coordinates of all 5 atoms:
Mn  0.000  0.000  0.000
B  0.000  0.000  0.500
B  0.000  0.500  0.000
B  0.500  0.000  0.000
H  0.500  0.500  0.500

## Properties
Volume: 10.9 Å³/atom
Energy above the most stable polymorph in this dataset: 626 meV/atom

No. 9
Here is crystalline Mn2BH at its relaxed geometry from Alexandria via LeMat-Bulk. Energies are from PBE.

abc: 3.588 3.588 3.588
angles: 60.00 60.00 60.00
Fractional coordinates of all 4 atoms:
Mn  0.250  0.250  0.250
Mn  0.750  0.750  0.750
B  0.000  0.000  0.000
H  0.500  0.500  0.500

## Properties
Volume: 8.2 Å³/atom
Energy above the most stable polymorph in this dataset: 225 meV/atom

No. 10
Here is crystalline Mn2BH at its relaxed geometry from Alexandria via LeMat-Bulk. Energies are from PBE.

abc: 4.295 4.295 4.295
angles: 109.56 109.56 109.30
Fractional coordinates of all 8 atoms:
Mn  0.078  0.625  0.953
Mn  0.375  0.328  0.453
Mn  0.672  0.125  0.047
Mn  0.875  0.922  0.547
B  0.250  0.750  0.500
B  0.500  0.500  0.000
H  0.000  0.000  0.000
H  0.750  0.250  0.500

## Properties
Volume: 7.6 Å³/atom
Energy above the most stable polymorph in this dataset: 151 meV/atom

No. 11
Here is crystalline MnB2H at its relaxed geometry from Alexandria via LeMat-Bulk. Energies are from PBE.

abc: 3.379 3.379 3.379
angles: 60.00 60.00 60.00
Fractional coordinates of all 4 atoms:
Mn  0.000  0.000  0.000
B  0.250  0.250  0.250
B  0.750  0.750  0.750
H  0.500  0.500  0.500

## Properties
Volume: 6.8 Å³/atom
Energy above the most stable polymorph in this dataset: 642 meV/atom

No. 12
Here is crystalline MnB2H6 at its relaxed geometry from Alexandria via LeMat-Bulk. Energies are from PBE.

abc: 4.640 4.640 6.830
angles: 102.94 102.94 79.14
Fractional coordinates of all 18 atoms:
Mn  0.066  0.934  0.750
Mn  0.934  0.066  0.250
B  0.061  0.384  0.593
B  0.384  0.061  0.093
B  0.616  0.939  0.907
B  0.939  0.616  0.407
H  0.158  0.699  0.372
H  0.169  0.249  0.039
H  0.199  0.495  0.761
H  0.249  0.169  0.539
H  0.301  0.842  0.128
H  0.495  0.199  0.261
H  0.505  0.801  0.739
H  0.699  0.158  0.872
H  0.751  0.831  0.461
H  0.801  0.505  0.239
H  0.831  0.751  0.961
H  0.842  0.301  0.628

## Properties
Volume: 7.7 Å³/atom
Energy above the most stable polymorph in this dataset: 0 meV/atom

No. 13
Here is crystalline MnB2H6 at its relaxed geometry from Alexandria via LeMat-Bulk. Energies are from PBE.

abc: 3.910 3.910 3.910
angles: 60.00 60.00 60.00
Fractional coordinates of all 9 atoms:
Mn  0.000  0.000  0.000
B  0.250  0.250  0.250
B  0.750  0.750  0.750
H  0.281  0.281  0.719
H  0.281  0.719  0.281
H  0.281  0.719  0.719
H  0.719  0.281  0.281
H  0.719  0.281  0.719
H  0.719  0.719  0.281

## Properties
Volume: 4.7 Å³/atom
Energy above the most stable polymorph in this dataset: 792 meV/atom

No. 14
Here is crystalline Mn2BHN at its relaxed geometry from Alexandria via LeMat-Bulk. Energies are from PBE.

abc: 3.977 3.977 2.842
angles: 90.00 90.00 90.00
Fractional coordinates of all 5 atoms:
Mn  0.000  0.500  0.000
Mn  0.500  0.000  0.000
B  0.000  0.000  0.500
H  0.500  0.500  0.500
N  0.000  0.000  0.000

## Properties
Volume: 9.0 Å³/atom
Electronic total energy: -6.876 eV/atom